Compound: YNpS2
Source: Alexandria via LeMat-Bulk
Functional: PBE
Structure: relaxed

POSCAR file:
```
YNpS2
1.0
3.789 0.000 0.000
1.895 3.282 0.000
1.895 1.094 6.962
Np Y S
1 1 2
Cartesian
3.789 2.188 3.574
5.684 3.282 6.880
1.895 1.094 1.681
1.895 1.094 5.271
```

Calculated values
ΔE to the lowest computed polymorph in meV per atom: 107
Energy relative to the elements, uncorrected in meV per atom: -1589
Space-group type: R3m (160)